#one
Material: LaPr2Zn2Cu2Si4
Method: DFT, PBE-GGA
State: optimized geometry

## Properties
Total magnetization in μB/cell: 0.01

Cell: 12.4907 12.4907 12.4907 Å, 160.71 160.55 27.53°
Closest atoms and distances in Å follow each position.
Fractional coordinates of all 11 atoms:
1 Pr 0.1520 0.6520 0.5000  4 Cu 3.17-3.18, 6 Si 3.18-3.27, 4 Zn 3.24
2 Pr 0.8480 0.3480 0.5000  4 Cu 3.17-3.18, 6 Si 3.18-3.27, 4 Zn 3.24
3 Si 0.3018 0.8018 0.5000  1 Zn 2.41, 4 Cu 2.44-2.46
4 Si 0.4509 0.4509 0.0000  1 Si 2.38, 2 Zn 2.42
5 Si 0.6982 0.1982 0.5000  1 Zn 2.41, 4 Cu 2.44-2.46
6 Si 0.5491 0.5491 0.0000  1 Si 2.38, 2 Zn 2.42
7 Zn 0.5988 0.0988 0.5000  3 Si 2.41-2.42
8 Zn 0.4012 0.9012 0.5000  3 Si 2.41-2.42
9 Cu 0.7499 0.7499 0.0000  4 Si 2.44-2.46
10 Cu 0.2501 0.2501 0.0000  4 Si 2.44-2.46
11 La 0.0000 0.0000 0.0000  4 Zn 3.19, 8 Si 3.20

=====

#two
Material: LaPr2Zn2Cu2Si4
Method: DFT, PBE-GGA
State: optimized geometry

## Properties
Total magnetization in μB/cell: 0.01

Cell: 12.6227 12.6227 12.6227 Å, 160.94 160.82 27.17°
Closest atoms and distances in Å follow each position.
Fractional coordinates of all 11 atoms:
1 Zn 0.7501 0.7501 0.0000  4 Si 2.56-2.57
2 Zn 0.2499 0.2499 0.0000  4 Si 2.56-2.57
3 Pr 0.8549 0.3549 0.5000  6 Si 3.16, 4 Cu 3.22, 4 Zn 3.31-3.33
4 Pr 0.1451 0.6451 0.5000  6 Si 3.16, 4 Cu 3.22, 4 Zn 3.31-3.33
5 La 0.0000 0.0000 0.0000  4 Cu 3.13, 8 Si 3.20
6 Si 0.3103 0.8103 0.5000  1 Cu 2.34, 4 Zn 2.56-2.57
7 Si 0.4508 0.4508 0.0000  2 Cu 2.37, 1 Si 2.41
8 Si 0.5492 0.5492 0.0000  2 Cu 2.37, 1 Si 2.41
9 Si 0.6897 0.1897 0.5000  1 Cu 2.34, 4 Zn 2.56-2.57
10 Cu 0.5944 0.0944 0.5000  3 Si 2.34-2.37
11 Cu 0.4056 0.9056 0.5000  3 Si 2.34-2.37

=====

Stability ranking, top entry: #one; the second entry is 0.022 eV/atom less favorable.

=====

#one
Material: LaCuSn2Pt
Method: DFT, PBE-GGA
State: optimized geometry

## Properties
Total magnetization in μB/cell: 0.01

Cell: 4.5812 4.5237 10.8449 Å, 90.00 91.18 90.00°
Closest atoms and distances in Å follow each position.
Fractional coordinates of all 10 atoms:
1 Cu 0.1956 0.2500 0.5005  4 Sn 2.62-2.66, 2 Cu 2.89
2 Cu 0.8044 0.7500 0.4995  4 Sn 2.62-2.66, 2 Cu 2.89
3 Pt 0.2547 0.7500 0.1339  5 Sn 2.66-2.71
4 Pt 0.7453 0.2500 0.8661  5 Sn 2.66-2.71
5 La 0.2352 0.7500 0.7405  3 Cu 3.24-3.45, 6 Sn 3.40-3.60, 4 Pt 3.48-3.51
6 La 0.7648 0.2500 0.2595  3 Cu 3.24-3.45, 6 Sn 3.40-3.60, 4 Pt 3.48-3.51
7 Sn 0.2930 0.7500 0.3786  4 Cu 2.62-2.66, 1 Pt 2.66
8 Sn 0.7070 0.2500 0.6214  4 Cu 2.62-2.66, 1 Pt 2.66
9 Sn 0.2507 0.2500 0.9987  4 Pt 2.70-2.71
10 Sn 0.7494 0.7500 0.0013  4 Pt 2.70-2.71

=====

#two
Material: LaCuSn2Pt
Method: DFT, PBE-GGA
State: optimized geometry

## Properties
Total magnetization in μB/cell: 0.00

Cell: 4.7072 4.5899 10.4403 Å, 90.00 91.66 90.00°
Closest atoms and distances in Å follow each position.
Fractional coordinates of all 10 atoms:
1 Pt 0.6990 0.2500 0.5005  4 Sn 2.70, 2 Pt 2.96
2 Pt 0.3010 0.7500 0.4995  4 Sn 2.70, 2 Pt 2.96
3 Sn 0.7929 0.7500 0.3719  1 Cu 2.55, 4 Pt 2.70
4 Sn 0.7509 0.2500 0.9980  4 Cu 2.66-2.70
5 Sn 0.2491 0.7500 0.0020  4 Cu 2.66-2.70
6 Sn 0.2071 0.2500 0.6281  1 Cu 2.55, 4 Pt 2.70
7 Cu 0.2440 0.2500 0.8724  5 Sn 2.55-2.70
8 Cu 0.7560 0.7500 0.1276  5 Sn 2.55-2.70
9 La 0.2647 0.2500 0.2604  3 Pt 3.19-3.39, 6 Sn 3.42-3.55, 4 Cu 3.57
10 La 0.7353 0.7500 0.7396  3 Pt 3.19-3.39, 6 Sn 3.42-3.55, 4 Cu 3.57

=====

Stability ranking, top entry: #one; the second entry is 0.050 eV/atom less favorable.

=====

#one
Material: LaCuSnSe3
Method: DFT, PBE-GGA
State: optimized geometry

## Properties
Total magnetization in μB/cell: 0.00

Cell: 13.6878 4.1372 11.4618 Å, 90.00 90.00 90.00°
Closest atoms and distances in Å follow each position.
Fractional coordinates of all 24 atoms:
1 Se 0.8830 0.2500 0.4414  3 La 3.01-3.04, 2 Sn 3.14
2 Se 0.1423 0.2500 0.2250  1 Cu 2.51
3 Se 0.3955 0.7500 0.3937  3 Cu 2.53-2.58
4 Se 0.3830 0.2500 0.0586  3 La 3.01-3.04, 2 Sn 3.14
5 Se 0.8955 0.7500 0.1063  3 Cu 2.53-2.58
6 Se 0.6423 0.2500 0.2750  1 Cu 2.51
7 Se 0.1045 0.2500 0.8937  3 Cu 2.53-2.58
8 Se 0.3577 0.7500 0.7250  1 Cu 2.51
9 Se 0.8577 0.7500 0.7750  1 Cu 2.51
10 Se 0.1170 0.7500 0.5586  3 La 3.01-3.04, 2 Sn 3.14
11 Se 0.6045 0.2500 0.6063  3 Cu 2.53-2.58
12 Se 0.6170 0.7500 0.9414  3 La 3.01-3.04, 2 Sn 3.14
13 Sn 0.7892 0.2500 0.9537  6 Se 3.06-3.14, 1 Cu 3.29
14 Sn 0.2892 0.2500 0.5463  6 Se 3.06-3.14, 1 Cu 3.29
15 Sn 0.2108 0.7500 0.0463  6 Se 3.06-3.14, 1 Cu 3.29
16 Sn 0.7108 0.7500 0.4537  6 Se 3.06-3.14, 1 Cu 3.29
17 La 0.5102 0.7500 0.1741  6 Se 2.97-3.04
18 La 0.9898 0.2500 0.6741  6 Se 2.97-3.04
19 La 0.4898 0.2500 0.8259  6 Se 2.97-3.04
20 La 0.0102 0.7500 0.3259  6 Se 2.97-3.04
21 Cu 0.9947 0.7500 0.9206  4 Se 2.51-2.58, 2 Cu 2.76
22 Cu 0.5053 0.2500 0.4206  4 Se 2.51-2.58, 2 Cu 2.76
23 Cu 0.4947 0.7500 0.5794  4 Se 2.51-2.58, 2 Cu 2.76
24 Cu 0.0053 0.2500 0.0794  4 Se 2.51-2.58, 2 Cu 2.76

=====

#two
Material: LaCuSnSe3
Method: DFT, PBE-GGA
State: optimized geometry

## Properties
Total magnetization in μB/cell: 0.00

Cell: 9.9184 9.9184 8.2050 Å, 104.57 104.57 24.33°
Closest atoms and distances in Å follow each position.
Fractional coordinates of all 12 atoms:
1 Se 0.3328 0.3328 0.1527  1 Cu 2.46
2 Se 0.0000 0.0000 0.5000  4 Cu 2.67
3 Se 0.6672 0.6672 0.8473  1 Cu 2.46
4 Se 0.6758 0.6758 0.3401  3 La 2.99-3.06, 2 Sn 3.08
5 Se 0.5000 0.5000 0.0000  2 Cu 2.71, 4 Sn 3.00
6 Se 0.3242 0.3242 0.6599  3 La 2.99-3.06, 2 Sn 3.08
7 Sn 0.1150 0.1150 0.0653  6 Se 3.00-3.09
8 Sn 0.8850 0.8850 0.9347  6 Se 3.00-3.09
9 La 0.8387 0.8387 0.4110  6 Se 2.96-3.06
10 La 0.1613 0.1613 0.5890  6 Se 2.96-3.06
11 Cu 0.4610 0.4610 0.2950  4 Se 2.46-2.71
12 Cu 0.5390 0.5390 0.7050  4 Se 2.46-2.71

=====

Stability ranking, top entry: #one; the second entry is 0.052 eV/atom less favorable.

=====

#one
Material: LaCuSnSe3
Method: DFT, PBE-GGA
State: optimized geometry

## Properties
Total magnetization in μB/cell: 0.00

Cell: 11.1485 4.1435 13.4131 Å, 90.00 90.00 90.00°
Closest atoms and distances in Å follow each position.
Fractional coordinates of all 24 atoms:
1 Sn 0.2147 0.7500 0.5072  7 Se 3.06-3.40
2 Sn 0.2853 0.2500 0.0072  7 Se 3.06-3.40
3 Sn 0.7853 0.2500 0.4928  7 Se 3.06-3.40
4 Sn 0.7147 0.7500 0.9928  7 Se 3.06-3.40
5 Cu 0.7345 0.2500 0.7787  4 Se 2.46-2.54
6 Cu 0.2655 0.7500 0.2213  4 Se 2.46-2.54
7 Cu 0.7655 0.7500 0.2787  4 Se 2.46-2.54
8 Cu 0.2345 0.2500 0.7213  4 Se 2.46-2.54
9 Se 0.3944 0.2500 0.5950  1 Cu 2.46
10 Se 0.5550 0.2500 0.8894  1 Cu 2.49
11 Se 0.7402 0.7500 0.6687  2 Cu 2.54
12 Se 0.6056 0.7500 0.4050  1 Cu 2.46
13 Se 0.2402 0.7500 0.8313  2 Cu 2.54
14 Se 0.2598 0.2500 0.3313  2 Cu 2.54
15 Se 0.1056 0.7500 0.0950  1 Cu 2.46
16 Se 0.9450 0.7500 0.3894  1 Cu 2.49
17 Se 0.4450 0.7500 0.1106  1 Cu 2.49
18 Se 0.8944 0.2500 0.9050  1 Cu 2.46
19 Se 0.7598 0.2500 0.1687  2 Cu 2.54
20 Se 0.0550 0.2500 0.6106  1 Cu 2.49
21 La 0.4835 0.7500 0.7361  6 Se 2.98-3.03
22 La 0.0165 0.2500 0.2361  6 Se 2.98-3.03
23 La 0.5165 0.2500 0.2639  6 Se 2.98-3.03
24 La 0.9835 0.7500 0.7639  6 Se 2.98-3.03

=====

#two
Material: LaCuSnSe3
Method: DFT, PBE-GGA
State: optimized geometry

## Properties
Total magnetization in μB/cell: 0.00

Cell: 8.4002 4.2766 16.6254 Å, 90.00 90.00 90.00°
Closest atoms and distances in Å follow each position.
Fractional coordinates of all 24 atoms:
1 Sn 0.0899 0.2500 0.2304  5 Se 2.91-3.18
2 Sn 0.5899 0.2500 0.2696  5 Se 2.91-3.18
3 Sn 0.4101 0.7500 0.7304  5 Se 2.91-3.18
4 Sn 0.9101 0.7500 0.7696  5 Se 2.91-3.18
5 Cu 0.3761 0.7500 0.1289  4 Se 2.42-2.52
6 Cu 0.8761 0.7500 0.3711  4 Se 2.42-2.52
7 Cu 0.6239 0.2500 0.8711  4 Se 2.42-2.52
8 Cu 0.1239 0.2500 0.6289  4 Se 2.42-2.52
9 Se 0.5156 0.2500 0.0989  2 Cu 2.49
10 Se 0.1167 0.7500 0.0660  1 Cu 2.42
11 Se 0.1906 0.2500 0.7766  1 Cu 2.52
12 Se 0.3094 0.7500 0.2766  1 Cu 2.52
13 Se 0.3833 0.2500 0.5660  1 Cu 2.42
14 Se 0.9844 0.7500 0.5989  2 Cu 2.49
15 Se 0.6906 0.2500 0.7234  1 Cu 2.52
16 Se 0.8833 0.2500 0.9340  1 Cu 2.42
17 Se 0.8094 0.7500 0.2234  1 Cu 2.52
18 Se 0.6167 0.7500 0.4340  1 Cu 2.42
19 Se 0.0156 0.2500 0.4011  2 Cu 2.49
20 Se 0.4844 0.7500 0.9011  2 Cu 2.49
21 La 0.2443 0.2500 0.9624  7 Se 2.95-3.22
22 La 0.2557 0.7500 0.4624  7 Se 2.95-3.22
23 La 0.7557 0.7500 0.0376  7 Se 2.95-3.22
24 La 0.7443 0.2500 0.5376  7 Se 2.95-3.22

=====

Stability ranking, top entry: #two; the second entry is 0.017 eV/atom less favorable.

=====

#one
Material: LaCuSnSe3
Method: DFT, PBE-GGA
State: optimized geometry

## Properties
Total magnetization in μB/cell: 0.00

Cell: 8.0417 4.1497 9.8799 Å, 90.00 101.60 90.00°
Closest atoms and distances in Å follow each position.
Fractional coordinates of all 12 atoms:
1 La 0.2029 0.2500 0.6570  6 Se 2.98-3.04
2 La 0.7971 0.7500 0.3430  6 Se 2.98-3.04
3 Se 0.4727 0.7500 0.6764  1 Cu 2.50
4 Se 0.2584 0.2500 0.9649  3 Cu 2.55-2.57
5 Se 0.0675 0.2500 0.3462  3 La 3.00-3.04, 2 Sn 3.16
6 Se 0.5273 0.2500 0.3236  1 Cu 2.50
7 Se 0.7416 0.7500 0.0351  3 Cu 2.55-2.57
8 Se 0.9325 0.7500 0.6538  3 La 3.00-3.04, 2 Sn 3.16
9 Sn 0.7353 0.2500 0.8045  6 Se 3.05-3.16, 1 Cu 3.26
10 Sn 0.2647 0.7500 0.1955  6 Se 3.05-3.16, 1 Cu 3.26
11 Cu 0.4283 0.7500 0.9195  4 Se 2.50-2.57, 2 Cu 2.73
12 Cu 0.5717 0.2500 0.0805  4 Se 2.50-2.57, 2 Cu 2.73

=====

#two
Material: LaCuSnSe3
Method: DFT, PBE-GGA
State: optimized geometry

## Properties
Total magnetization in μB/cell: 0.00

Cell: 7.0390 7.0390 11.1739 Å, 90.00 90.00 34.08°
Closest atoms and distances in Å follow each position.
Fractional coordinates of all 12 atoms:
1 Se 0.3531 0.3531 0.0803  1 Cu 2.47
2 Se 0.6469 0.6469 0.9197  1 Cu 2.47
3 Se 0.9191 0.9191 0.7500  2 Cu 2.55
4 Se 0.6469 0.6469 0.5803  1 Cu 2.47
5 Se 0.3531 0.3531 0.4197  1 Cu 2.47
6 Se 0.0809 0.0809 0.2500  2 Cu 2.55
7 La 0.0000 0.0000 0.0000  6 Se 3.00
8 La 0.0000 0.0000 0.5000  6 Se 3.00
9 Cu 0.4701 0.4701 0.2500  4 Se 2.47-2.55
10 Cu 0.5299 0.5299 0.7500  4 Se 2.47-2.55
11 Sn 0.7625 0.7625 0.2500  6 Se 3.06-3.20
12 Sn 0.2375 0.2375 0.7500  6 Se 3.06-3.20

=====

#three
Material: LaCuSnSe3
Method: DFT, PBE-GGA
State: optimized geometry

## Properties
Total magnetization in μB/cell: 0.00

Cell: 11.6108 4.2686 11.9849 Å, 90.00 90.00 90.00°
Closest atoms and distances in Å follow each position.
Fractional coordinates of all 24 atoms:
1 Se 0.1113 0.2500 0.9418  1 Cu 2.44
2 Se 0.3887 0.7500 0.4418  1 Cu 2.44
3 Se 0.9533 0.2500 0.6321  1 Cu 2.47
4 Se 0.8887 0.7500 0.0582  1 Cu 2.44
5 Se 0.2789 0.2500 0.1896  2 Cu 2.50
6 Se 0.6113 0.2500 0.5582  1 Cu 2.44
7 Se 0.7211 0.7500 0.8104  2 Cu 2.50
8 Se 0.0467 0.7500 0.3679  1 Cu 2.47
9 Se 0.2211 0.7500 0.6896  2 Cu 2.50
10 Se 0.5467 0.7500 0.1321  1 Cu 2.47
11 Se 0.4533 0.2500 0.8679  1 Cu 2.47
12 Se 0.7789 0.2500 0.3104  2 Cu 2.50
13 Cu 0.2550 0.2500 0.7933  4 Se 2.44-2.50
14 Cu 0.7450 0.7500 0.2067  4 Se 2.44-2.50
15 Cu 0.2450 0.7500 0.2933  4 Se 2.44-2.50
16 Cu 0.7550 0.2500 0.7067  4 Se 2.44-2.50
17 La 0.9864 0.7500 0.8172  7 Se 2.98-3.12
18 La 0.0136 0.2500 0.1828  7 Se 2.98-3.12
19 La 0.4864 0.7500 0.6828  7 Se 2.98-3.12
20 La 0.5136 0.2500 0.3172  7 Se 2.98-3.12
21 Sn 0.8235 0.7500 0.4941  7 Se 3.00-3.35
22 Sn 0.1765 0.2500 0.5059  7 Se 3.00-3.35
23 Sn 0.6765 0.2500 0.9941  7 Se 3.00-3.35
24 Sn 0.3235 0.7500 0.0059  7 Se 3.00-3.35

=====

Stability ranking, top entry: #three; the second entry is 0.013 eV/atom less favorable.

=====

#one
Material: La3Zn2Cu2Si4
Method: DFT, PBE-GGA
State: optimized geometry

## Properties
Total magnetization in μB/cell: 0.24

Cell: 12.5273 12.5273 12.5273 Å, 160.63 160.41 27.69°
Closest atoms and distances in Å follow each position.
Fractional coordinates of all 11 atoms:
1 Cu 0.2501 0.7501 0.5000  4 Si 2.45-2.47
2 Cu 0.7499 0.2499 0.5000  4 Si 2.45-2.47
3 Si 0.8015 0.8015 0.0000  1 Zn 2.44, 4 Cu 2.45-2.47
4 Si 0.0485 0.5485 0.5000  1 Si 2.36, 2 Zn 2.43
5 Si 0.9515 0.4515 0.5000  1 Si 2.36, 2 Zn 2.43
6 Si 0.1985 0.1985 0.0000  1 Zn 2.44, 4 Cu 2.45-2.47
7 Zn 0.0980 0.0980 0.0000  3 Si 2.43-2.44
8 Zn 0.9020 0.9020 0.0000  3 Si 2.43-2.44
9 La 0.5000 0.0000 0.5000  4 Zn 3.20, 8 Si 3.22
10 La 0.3476 0.3476 0.0000  4 Cu 3.17-3.19, 6 Si 3.20-3.31, 4 Zn 3.28
11 La 0.6524 0.6524 0.0000  4 Cu 3.17-3.19, 6 Si 3.20-3.31, 4 Zn 3.28

=====

#two
Material: La3Zn2Cu2Si4
Method: DFT, PBE-GGA
State: optimized geometry

## Properties
Total magnetization in μB/cell: 0.00

Cell: 12.6608 12.6608 12.6608 Å, 160.91 160.69 27.28°
Closest atoms and distances in Å follow each position.
Fractional coordinates of all 11 atoms:
1 Cu 0.9058 0.9058 0.0000  3 Si 2.37-2.38
2 Cu 0.0942 0.0942 0.0000  3 Si 2.37-2.38
3 La 0.3544 0.3544 0.0000  6 Si 3.18-3.19, 4 Cu 3.24, 4 Zn 3.32-3.33
4 La 0.6456 0.6456 0.0000  6 Si 3.18-3.19, 4 Cu 3.24, 4 Zn 3.32-3.33
5 La 0.5000 0.0000 0.5000  4 Cu 3.14, 8 Si 3.22
6 Zn 0.7499 0.2499 0.5000  4 Si 2.56-2.58
7 Zn 0.2501 0.7501 0.5000  4 Si 2.56-2.58
8 Si 0.8096 0.8096 0.0000  1 Cu 2.37, 4 Zn 2.56-2.58
9 Si 0.1904 0.1904 0.0000  1 Cu 2.37, 4 Zn 2.56-2.58
10 Si 0.0490 0.5490 0.5000  2 Cu 2.38, 1 Si 2.41
11 Si 0.9510 0.4510 0.5000  2 Cu 2.38, 1 Si 2.41

=====

Stability ranking, top entry: #one; the second entry is 0.010 eV/atom less favorable.